# In4Ga2Fe

In4Ga2Fe after structural relaxation (PBE, Alexandria).

a = 7.891 Å, b = 7.891 Å, c = 7.891 Å
α = 142.39°, β = 142.39°, γ = 54.24°
Positions (direct):
1 In 0.000 0.500 0.500
2 In 0.180 0.180 0.000
3 In 0.500 0.000 0.500
4 In 0.820 0.820 0.000
5 Ga 0.379 0.379 0.000
6 Ga 0.621 0.621 0.000
7 Fe 0.000 0.000 0.000

Computed properties:
total magnetization: 1.16 μB per formula unit
calculated formation energy: 278 meV per atom
symmetry: I4/mmm (139)

***

# LaTb4Pm2

LaTb4Pm2 after structural relaxation (PBE, Alexandria).

a = 9.228 Å, b = 9.228 Å, c = 5.847 Å
α = 90.00°, β = 90.00°, γ = 90.00°
Positions (direct):
1 La 0.000 0.000 0.000
2 La 0.500 0.500 0.500
3 Tb 0.107 0.367 0.000
4 Tb 0.133 0.607 0.500
5 Tb 0.367 0.107 0.000
6 Tb 0.393 0.867 0.500
7 Tb 0.607 0.133 0.500
8 Tb 0.633 0.893 0.000
9 Tb 0.867 0.393 0.500
10 Tb 0.893 0.633 0.000
11 Pm 0.190 0.190 0.500
12 Pm 0.310 0.690 0.000
13 Pm 0.690 0.310 0.000
14 Pm 0.810 0.810 0.500

Computed properties:
total magnetization: 0.00 μB per formula unit
calculated formation energy: 214 meV per atom
symmetry: P4_2/mnm (136)
energy relative to the lowest polymorph listed for this composition: 0.0 kJ per mole of atoms

***

# KSbPbCl6

KSbPbCl6 after structural relaxation (PBE, Alexandria).

a = 7.396 Å, b = 7.396 Å, c = 12.333 Å
α = 90.00°, β = 90.00°, γ = 120.00°
Positions (direct):
1 K 0.333 0.667 0.250
2 K 0.667 0.333 0.750
3 Sb 0.333 0.667 0.750
4 Sb 0.667 0.333 0.250
5 Pb 0.000 0.000 0.000
6 Pb 0.000 0.000 0.500
7 Cl 0.048 0.360 0.625
8 Cl 0.048 0.688 0.875
9 Cl 0.312 0.360 0.875
10 Cl 0.312 0.952 0.625
11 Cl 0.360 0.048 0.125
12 Cl 0.360 0.312 0.375
13 Cl 0.640 0.688 0.625
14 Cl 0.640 0.952 0.875
15 Cl 0.688 0.048 0.375
16 Cl 0.688 0.640 0.125
17 Cl 0.952 0.312 0.125
18 Cl 0.952 0.640 0.375

Computed properties:
total magnetization: 0.00 μB per formula unit
symmetry: P-31c (163)
energy relative to the elements, uncorrected: -1.197 eV/atom

***

# CeTh4P6

CeTh4P6 after structural relaxation (PBE, Alexandria).

a = 8.077 Å, b = 8.077 Å, c = 8.077 Å
α = 89.65°, β = 89.65°, γ = 89.65°
Positions (direct):
1 Ce 0.000 0.000 0.000
2 Ce 0.500 0.500 0.500
3 Th 0.132 0.750 0.368
4 Th 0.250 0.250 0.250
5 Th 0.250 0.632 0.868
6 Th 0.368 0.132 0.750
7 Th 0.632 0.868 0.250
8 Th 0.750 0.368 0.132
9 Th 0.750 0.750 0.750
10 Th 0.868 0.250 0.632
11 P 0.065 0.914 0.678
12 P 0.086 0.322 0.935
13 P 0.178 0.414 0.565
14 P 0.322 0.935 0.086
15 P 0.414 0.565 0.178
16 P 0.435 0.822 0.586
17 P 0.565 0.178 0.414
18 P 0.586 0.435 0.822
19 P 0.678 0.065 0.914
20 P 0.822 0.586 0.435
21 P 0.914 0.678 0.065
22 P 0.935 0.086 0.322

Computed properties:
total magnetization: 0.00 μB per formula unit
calculated formation energy: -1267 meV per atom
symmetry: R-3c (167)

***

# CoSi2Ru

CoSi2Ru after structural relaxation (PBE, Alexandria).

a = 7.568 Å, b = 7.568 Å, c = 7.568 Å
α = 21.16°, β = 21.16°, γ = 21.16°
Positions (direct):
1 Co 0.000 0.000 0.000
2 Si 0.254 0.254 0.254
3 Si 0.746 0.746 0.746
4 Ru 0.500 0.500 0.500

Computed properties:
total magnetization: 0.06 μB per formula unit
symmetry: R-3m (166)
energy relative to the elements, uncorrected: -0.347 eV/atom

***

# Tb2Er2Tm2In

Tb2Er2Tm2In after structural relaxation (PBE, Alexandria).

a = 6.055 Å, b = 6.055 Å, c = 11.397 Å
α = 111.67°, β = 111.67°, γ = 33.54°
Positions (direct):
1 Tb 0.033 0.033 0.255
2 Tb 0.967 0.967 0.745
3 Er 0.175 0.175 0.585
4 Er 0.825 0.825 0.415
5 Tm 0.252 0.252 0.133
6 Tm 0.748 0.748 0.867
7 In 0.500 0.500 0.000

Computed properties:
total magnetization: 0.00 μB per formula unit
calculated formation energy: -22 meV per atom
symmetry: C2/m (12)

***

# YSnPd

YSnPd after structural relaxation (PBE, Alexandria).

a = 11.788 Å, b = 11.788 Å, c = 11.788 Å
α = 157.24°, β = 46.21°, γ = 140.34°
Positions (direct):
1 Y 0.000 0.000 0.000
2 Y 0.244 0.079 0.165
3 Y 0.334 0.003 0.331
4 Y 0.577 0.077 0.500
5 Y 0.672 0.003 0.669
6 Y 0.913 0.079 0.835
7 Sn 0.114 0.380 0.734
8 Sn 0.132 0.701 0.431
9 Sn 0.270 0.701 0.569
10 Sn 0.605 0.702 0.903
11 Sn 0.645 0.380 0.266
12 Sn 0.799 0.702 0.097
13 Pd 0.298 0.371 0.927
14 Pd 0.444 0.371 0.073
15 Pd 0.474 0.708 0.766
16 Pd 0.771 0.373 0.398
17 Pd 0.942 0.708 0.234
18 Pd 0.975 0.373 0.602

Computed properties:
total magnetization: 0.00 μB per formula unit
calculated formation energy: -931 meV per atom
symmetry: Imm2 (44)

***

# Ta2MoPb

Ta2MoPb after structural relaxation (PBE, Alexandria).

a = 3.507 Å, b = 3.507 Å, c = 6.158 Å
α = 90.00°, β = 90.00°, γ = 90.00°
Positions (direct):
1 Ta 0.000 0.000 0.226
2 Ta 0.000 0.000 0.774
3 Mo 0.500 0.500 0.000
4 Pb 0.500 0.500 0.500

Computed properties:
total magnetization: 0.00 μB per formula unit
calculated formation energy: 302 meV per atom
symmetry: P4/mmm (123)

***

# RbBeCr3

RbBeCr3 after structural relaxation (PBE, Alexandria).

a = 4.781 Å, b = 4.781 Å, c = 4.781 Å
α = 90.00°, β = 90.00°, γ = 90.00°
Positions (direct):
1 Rb 0.000 0.000 0.000
2 Be 0.500 0.500 0.500
3 Cr 0.000 0.500 0.500
4 Cr 0.500 0.000 0.500
5 Cr 0.500 0.500 0.000

Computed properties:
total magnetization: 12.97 μB per formula unit
calculated formation energy: 1285 meV per atom
symmetry: Pm-3m (221)
energy relative to the lowest polymorph listed for this composition: 0.0 kJ per mole of atoms

***

# LiMnZn2Ir

LiMnZn2Ir after structural relaxation (PBE, Alexandria).

a = 4.687 Å, b = 4.687 Å, c = 4.389 Å
α = 90.00°, β = 90.00°, γ = 90.00°
Positions (direct):
1 Li 0.000 0.000 0.000
2 Mn 0.500 0.500 0.500
3 Zn 0.000 0.500 0.500
4 Zn 0.500 0.000 0.500
5 Ir 0.500 0.500 0.000

Computed properties:
total magnetization: 1.53 μB per formula unit
calculated formation energy: 582 meV per atom
symmetry: P4/mmm (123)

***

# MnCdRu2

MnCdRu2 after structural relaxation (PBE, Alexandria).

a = 4.757 Å, b = 4.757 Å, c = 2.876 Å
α = 90.00°, β = 90.00°, γ = 108.63°
Positions (direct):
1 Mn 0.000 0.000 0.000
2 Cd 0.500 0.500 0.000
3 Ru 0.000 0.500 0.500
4 Ru 0.500 0.000 0.500

Computed properties:
total magnetization: 2.41 μB per formula unit
calculated formation energy: 426 meV per atom
symmetry: Cmmm (65)

***

# La6MgPb

La6MgPb after structural relaxation (PBE, Alexandria).

a = 5.889 Å, b = 5.889 Å, c = 7.707 Å
α = 90.00°, β = 90.00°, γ = 90.00°
Positions (direct):
1 La 0.000 0.000 0.000
2 La 0.000 0.000 0.500
3 La 0.000 0.500 0.250
4 La 0.000 0.500 0.750
5 La 0.500 0.000 0.250
6 La 0.500 0.000 0.750
7 Mg 0.500 0.500 0.000
8 Pb 0.500 0.500 0.500

Computed properties:
total magnetization: 0.00 μB per formula unit
calculated formation energy: -131 meV per atom
symmetry: P4/mmm (123)

***

# Pr8CuRh3Br4

Pr8CuRh3Br4 after structural relaxation (PBE, Alexandria).

a = 8.358 Å, b = 8.358 Å, c = 9.226 Å
α = 116.99°, β = 116.99°, γ = 60.00°
Positions (direct):
1 Pr 0.227 0.735 0.696
2 Pr 0.233 0.233 0.699
3 Pr 0.265 0.265 0.304
4 Pr 0.265 0.773 0.304
5 Pr 0.735 0.227 0.696
6 Pr 0.735 0.735 0.696
7 Pr 0.767 0.767 0.301
8 Pr 0.773 0.265 0.304
9 Cu 0.500 0.500 0.500
10 Rh 0.000 0.000 0.500
11 Rh 0.000 0.500 0.500
12 Rh 0.500 0.000 0.500
13 Br 0.000 0.000 0.000
14 Br 0.000 0.500 0.000
15 Br 0.500 0.000 0.000
16 Br 0.500 0.500 0.000

Computed properties:
total magnetization: 0.00 μB per formula unit
symmetry: C2/m (12)
energy relative to the elements, uncorrected: -0.961 eV/atom

***

# CrRe8

CrRe8 after structural relaxation (PBE, Alexandria).

a = 6.164 Å, b = 6.164 Å, c = 6.164 Å
α = 95.69°, β = 95.69°, γ = 143.30°
Positions (direct):
1 Cr 0.000 0.000 0.000
2 Re 0.000 0.331 0.331
3 Re 0.000 0.669 0.669
4 Re 0.331 0.000 0.331
5 Re 0.335 0.335 0.670
6 Re 0.335 0.665 0.000
7 Re 0.665 0.335 0.000
8 Re 0.665 0.665 0.330
9 Re 0.669 0.000 0.669

Computed properties:
total magnetization: 0.00 μB per formula unit
calculated formation energy: 90 meV per atom
symmetry: I4/mmm (139)